[1]
Material: TeAsAu3
Method: DFT, PBE
State: optimized geometry

POSCAR file:
```
TeAsAu3
1.0
-3.5763 -2.2570 2.6279
1.5225 -4.4168 -1.7215
3.1116 -0.4329 3.8627
As Au Te
1 3 1
Direct
0.0000 0.0000 0.0000
0.0000 0.5000 0.0000
0.0000 0.0000 0.5000
0.5000 0.0000 0.0000
0.5000 0.5000 0.5000
```

Space-group type ... No. 221
Distance to the lowest polymorph of the same formula ... 0.000 eV/atom



[2]
Material: Tb3NdSm4S8
Method: DFT, PBE
State: optimized geometry

POSCAR file:
```
Tb3NdSm4S8
1.0
7.9725 0.0000 0.0000
0.0000 7.9799 -0.0004
-3.9862 -3.9823 5.6401
S Tb Nd Sm
8 3 1 4
Direct
0.7481 0.2539 0.0058
0.2519 0.7461 0.9942
0.2528 0.2584 0.5056
0.7481 0.2539 0.4963
0.2519 0.7461 0.5037
0.7424 0.7461 0.9942
0.2576 0.2539 0.0058
0.7472 0.7416 0.4944
0.5000 0.5000 0.5000
0.5000 0.5000 0.0000
0.0000 0.5000 0.5000
0.0000 0.5000 0.0000
0.0000 0.0000 0.0000
0.0000 0.0000 0.5000
0.5000 0.0000 0.0000
0.5000 0.0000 0.5000
```

Space-group type ... No. 166



| no. | density (g/cm³) | uncorrected formation energy (meV per atom) |
| --- | --- | --- |
| 1 | 10.67 | 445 |
| 2 | 6.84 | -2012 |